## LiCa2Pt2 (GGA-PBEsol)

Data for a relaxed LiCa2Pt2 crystal.

Output
Raw total energy: -46.8 eV per cell
Energy of formation: -646 meV/atom
Space-group type: P4/mbm

```
LiCa2Pt2
1.0
4.027 0.000 0.000
0.000 7.288 0.000
0.000 0.000 7.288
Li Pt Ca
2 4 4
Direct
0.000 0.000 0.000 Li
0.000 0.500 0.500 Li
0.000 0.130 0.370 Pt
0.000 0.630 0.130 Pt
0.000 0.370 0.870 Pt
0.000 0.870 0.630 Pt
0.500 0.832 0.332 Ca
0.500 0.332 0.168 Ca
0.500 0.668 0.832 Ca
0.500 0.168 0.668 Ca
```